Record 1
RbLiCo2C: optimized geometry, GGA-PBE.

Computed properties:
V   19.15 A^3/atom
DFT total energy   -2.874 eV per atom
D(E_F)   9.77 states/eV/cell
E_form   2.389 eV/atom
Mass density   3.85 g/cm3

Structure (CIF):
```
data_RbLiCo2C
_chemical_formula_sum 'Rb1 Li1 Co2 C1'
_cell_length_a 4.3260
_cell_length_b 4.3260
_cell_length_c 5.1177
_cell_angle_alpha 90.00
_cell_angle_beta 90.00
_cell_angle_gamma 90.00
_symmetry_space_group_name_H-M 'P 4/m m m'
_symmetry_Int_Tables_number 123
_symmetry_space_group_name_Hall '-P 4 2'
loop_
_atom_site_label
_atom_site_fract_x
_atom_site_fract_y
_atom_site_fract_z
_atom_site_occupancy
Rb1 0.0000 0.0000 0.0000 1
Li1 0.0000 0.0000 0.5000 1
Co1 0.0000 0.5000 0.5000 1
C1 0.5000 0.5000 0.0000 1
```



Record 2
BeGa2Pd2: optimized geometry, GGA-PBE.

Computed properties:
V   15.75 A^3/atom
DFT total energy   -4.115 eV per atom
D(E_F)   3.49 states/eV/cell
E_form   -0.082 eV/atom
Energy relative to the lowest polymorph listed for this composition   0.288 eV/atom
Mass density   7.62 g/cm3

Structure (CIF):
```
data_BeGa2Pd2
_chemical_formula_sum 'Be2 Ga4 Pd4'
_cell_length_a 3.5037
_cell_length_b 3.5037
_cell_length_c 12.8297
_cell_angle_alpha 90.00
_cell_angle_beta 90.00
_cell_angle_gamma 90.00
_symmetry_space_group_name_H-M 'I 4/m m m'
_symmetry_Int_Tables_number 139
_symmetry_space_group_name_Hall '-I 4 2'
loop_
_atom_site_label
_atom_site_fract_x
_atom_site_fract_y
_atom_site_fract_z
_atom_site_occupancy
Be1 0.0000 0.0000 0.0000 1
Ga1 0.0000 0.5000 0.2500 1
Pd1 0.0000 0.0000 0.3985 1
```



Record 3
SrLiN: optimized geometry, GGA-PBE.

Computed properties:
V   18.36 A^3/atom
DFT total energy   -4.473 eV per atom
D(E_F)   0.05 states/eV/cell
Energy relative to the elements, uncorrected   -0.50 eV/atom
Mass density   3.27 g/cm3

Structure (CIF):
```
data_SrLiN
_chemical_formula_sum 'Sr2 Li2 N2'
_cell_length_a 3.9418
_cell_length_b 3.9418
_cell_length_c 7.0901
_cell_angle_alpha 90.00
_cell_angle_beta 90.00
_cell_angle_gamma 90.00
_symmetry_space_group_name_H-M 'P 42/m m c'
_symmetry_Int_Tables_number 131
_symmetry_space_group_name_Hall '-P 4c 2'
loop_
_atom_site_label
_atom_site_fract_x
_atom_site_fract_y
_atom_site_fract_z
_atom_site_occupancy
Sr1 0.0000 0.0000 0.2500 1
Li1 0.5000 0.5000 0.0000 1
N1 0.0000 0.5000 0.0000 1
```



Record 4
BaH3Rh: optimized geometry, GGA-PBE.

Computed properties:
V   14.77 A^3/atom
DFT total energy   -4.333 eV per atom
D(E_F)   0.00 states/eV/cell
Mass density   5.47 g/cm3

Structure (CIF):
```
data_BaH3Rh
_chemical_formula_sum 'Ba4 H12 Rh4'
_cell_length_a 4.4582
_cell_length_b 13.1180
_cell_length_c 5.0524
_cell_angle_alpha 90.00
_cell_angle_beta 90.00
_cell_angle_gamma 90.00
_symmetry_space_group_name_H-M 'C 2 2 21'
_symmetry_Int_Tables_number 20
_symmetry_space_group_name_Hall 'C 2c 2'
loop_
_atom_site_label
_atom_site_fract_x
_atom_site_fract_y
_atom_site_fract_z
_atom_site_occupancy
Ba1 0.0000 0.1278 0.2500 1
H1 0.0095 0.3192 0.0302 1
H2 0.0665 0.5000 0.0000 1
Rh1 0.0000 0.4106 0.2500 1
```



Record 5
CuSb3S: optimized geometry, GGA-PBE.

Computed properties:
V   27.82 A^3/atom
DFT total energy   -3.298 eV per atom
D(E_F)   5.95 states/eV/cell
Energy relative to the elements, uncorrected   0.82 eV/atom
Energy relative to the lowest polymorph listed for this composition   0.177 eV/atom
Mass density   5.50 g/cm3

Structure (CIF):
```
data_CuSb3S
_chemical_formula_sum 'Cu1 Sb3 S1'
_cell_length_a 5.1814
_cell_length_b 5.1814
_cell_length_c 5.1814
_cell_angle_alpha 90.00
_cell_angle_beta 90.00
_cell_angle_gamma 90.00
_symmetry_space_group_name_H-M 'P m -3 m'
_symmetry_Int_Tables_number 221
_symmetry_space_group_name_Hall '-P 4 2 3'
loop_
_atom_site_label
_atom_site_fract_x
_atom_site_fract_y
_atom_site_fract_z
_atom_site_occupancy
Cu1 0.0000 0.0000 0.0000 1
Sb1 0.0000 0.5000 0.5000 1
S1 0.5000 0.5000 0.5000 1
```



Record 6
KIr2Cl8: optimized geometry, GGA-PBE.

Computed properties:
V   28.37 A^3/atom
DFT total energy   -3.673 eV per atom
D(E_F)   28.57 states/eV/cell
Energy relative to the elements, uncorrected   -0.62 eV/atom
Mass density   3.76 g/cm3

Structure (CIF):
```
data_KIr2Cl8
_chemical_formula_sum 'K2 Ir4 Cl16'
_cell_length_a 13.3024
_cell_length_b 4.6249
_cell_length_c 10.8781
_cell_angle_alpha 90.00
_cell_angle_beta 111.17
_cell_angle_gamma 90.00
_symmetry_space_group_name_H-M 'C 1 2/m 1'
_symmetry_Int_Tables_number 12
_symmetry_space_group_name_Hall '-C 2y'
loop_
_atom_site_label
_atom_site_fract_x
_atom_site_fract_y
_atom_site_fract_z
_atom_site_occupancy
K1 0.0000 0.0000 0.0000 1
Ir1 0.0998 0.5000 0.6636 1
Cl1 0.0682 0.0000 0.6830 1
Cl2 0.0945 0.5000 0.4445 1
Cl3 0.1023 0.5000 0.8831 1
Cl4 0.2153 0.0000 0.2600 1
```



Record 7
KGaHg2: optimized geometry, GGA-PBE.

Computed properties:
V   37.76 A^3/atom
DFT total energy   -1.223 eV per atom
D(E_F)   2.77 states/eV/cell
E_form   -0.042 eV/atom
Mass density   5.61 g/cm3

Structure (CIF):
```
data_KGaHg2
_chemical_formula_sum 'K4 Ga4 Hg8'
_cell_length_a 5.9363
_cell_length_b 5.9363
_cell_length_c 17.1445
_cell_angle_alpha 90.00
_cell_angle_beta 90.00
_cell_angle_gamma 90.00
_symmetry_space_group_name_H-M 'I -4 2 d'
_symmetry_Int_Tables_number 122
_symmetry_space_group_name_Hall 'I -4 2bw'
loop_
_atom_site_label
_atom_site_fract_x
_atom_site_fract_y
_atom_site_fract_z
_atom_site_occupancy
K1 0.0000 0.0000 0.0000 1
Ga1 0.0000 0.0000 0.5000 1
Hg1 0.0962 0.2500 0.6250 1
```



Record 8
VTe2OsI: optimized geometry, GGA-PBE.

Computed properties:
V   28.15 A^3/atom
DFT total energy   -4.239 eV per atom
D(E_F)   7.68 states/eV/cell
Energy relative to the elements, uncorrected   1.40 eV/atom
Energy relative to the lowest polymorph listed for this composition   0.078 eV/atom
Mass density   7.35 g/cm3

Structure (CIF):
```
data_VTe2OsI
_chemical_formula_sum 'V1 Te2 Os1 I1'
_cell_length_a 5.1265
_cell_length_b 5.1265
_cell_length_c 5.3559
_cell_angle_alpha 90.00
_cell_angle_beta 90.00
_cell_angle_gamma 90.00
_symmetry_space_group_name_H-M 'P 4/m m m'
_symmetry_Int_Tables_number 123
_symmetry_space_group_name_Hall '-P 4 2'
loop_
_atom_site_label
_atom_site_fract_x
_atom_site_fract_y
_atom_site_fract_z
_atom_site_occupancy
V1 0.0000 0.0000 0.0000 1
Te1 0.0000 0.5000 0.0000 1
Os1 0.5000 0.5000 0.5000 1
I1 0.0000 0.0000 0.5000 1
```